Material: Cs2MnBr6O
Method: DFT, PBE with a Hubbard U
State: relaxed

Output
Energy, eV per formula unit: -32.06
DOS at the Fermi energy, states/eV/atom: 0.000
Total magnetization, Bohr magnetons per cell: 5.0

a = 7.3223 Å, b = 7.3223 Å, c = 7.9851 Å
α = 62.71°, β = 62.71°, γ = 90.00°
Fractional coordinates of all 10 atoms:
Cs (0.7500, 0.2500, 0.5000)
Cs (0.2500, 0.7500, 0.5000)
Mn (0.0000, 0.0000, 0.0000)
O (0.5000, 0.5000, 0.0000)
Br (0.2051, 0.2051, 0.5898)
Br (0.7949, 0.7949, 0.4102)
Br (0.2757, 0.2757, 0.0000)
Br (0.7243, 0.7243, 0.0000)
Br (0.7243, 0.2757, 0.0000)
Br (0.2757, 0.7243, 0.0000)